Material: Sm4GaS2
Method: DFT, PBE
State: optimized geometry

It has space group Cmcm (No. 63), with a = 3.9886 Å, b = 13.2770 Å, c = 13.7491 Å, α = 90.00°, β = 90.00° and γ = 90.00°. The inequivalent atoms are Sm at (0.0000, 0.0000, 0.0000), Sm at (0.0000, 0.2723, 0.1198), Sm at (0.0000, 0.4386, 0.7500), Ga at (0.0000, 0.1075, 0.7500) and S at (0.0000, 0.3637, 0.5610).

For the mass density, the calculation gives 6.71 g/cm3. As for the density of states at the Fermi level: 20.16 states/eV/cell. The value obtained for the total energy is -158.18 eV for the cell shown.